1.
Below is a relaxed structure of LaScHg, with properties calculated at the GGA-PBE level.

Properties
* energy of formation from the pure elements: -260 meV per atom
* energy above the lowest structure with this stoichiometry: 0.081 eV per atom
* SG: No. 156

Geometry as extended XYZ:
```
6
Lattice="-2.4441 -5.9265 -2.4847 4.9231 -1.7029 -0.7838 -2.4087 -0.9301 4.5917" Properties=species:S:1:pos:R:3 pbc="T T T"
Sc -3.0820 -4.4778 2.8888
Sc 2.2984 -3.7971 -0.1924
Hg -0.0459 -3.2971 1.7011
Hg 1.2052 -6.4457 -1.3024
La -1.1770 -6.0380 0.5521
La -1.9101 -1.6360 4.0799
```

***

2.
Below is a relaxed structure of La5ScHg4, with properties calculated at the GGA-PBE level.

Properties
* energy of formation from the pure elements: -373 meV per atom
* SG: No. 123

Geometry as extended XYZ:
```
10
Lattice="-0.6053 3.7032 -1.0617 -0.9736 -1.1869 -3.5848 -18.9857 -1.4843 5.6478" Properties=species:S:1:pos:R:3 pbc="T T T"
La -2.7994 1.1010 -1.7253
La -6.5404 0.8086 -0.6125
La -10.2823 0.5160 0.5007
La -14.0242 0.2235 1.6138
La -17.7653 -0.0690 2.7266
Sc 0.0000 0.0000 0.0000
Hg -3.7905 -0.2963 1.1276
Hg -7.6391 -0.5972 2.2724
Hg -11.3466 -0.8871 3.3753
Hg -15.1953 -1.1880 4.5202
```